Compound: Ca2BeBr
Source: Alexandria via LeMat-Bulk
Functional: PBE
Structure: relaxed

Geometry as POSCAR:
```
Ca2BeBr
1.0
4.957 0.000 0.000
0.000 1.820 5.899
0.000 -1.820 5.899
Ca Be Br
2 1 1
direct
0.000 0.000 0.000
0.500 0.256 0.256
0.500 0.511 0.511
0.000 0.743 0.743
```

E   -10.62 eV per formula unit
Polymorph energy (0 for the lowest one)   0.157 eV per atom
Space group   No. 38
M_tot   0.480 μB per cell
Fermi-level density of states   3.168 states/eV per cell



Compound: La4DyZn5
Source: Alexandria via LeMat-Bulk
Functional: PBE
Structure: relaxed

Geometry as POSCAR:
```
La4DyZn5
1.0
3.719 0.000 0.000
0.000 3.719 0.000
0.000 0.000 18.645
La Dy Zn
4 1 5
direct
0.000 0.000 0.102
0.000 0.000 0.307
0.000 0.000 0.693
0.000 0.000 0.898
0.000 0.000 0.500
0.500 0.500 0.000
0.500 0.500 0.203
0.500 0.500 0.413
0.500 0.500 0.587
0.500 0.500 0.797
```

E   -33.80 eV per formula unit
Formation energy from the elements   -0.31 eV per atom
Space group   No. 123
M_tot   0.001 μB per cell
Fermi-level density of states   12.340 states/eV per cell



Compound: Tb4PrDy10
Source: Alexandria via LeMat-Bulk
Functional: PBE
Structure: relaxed

Geometry as POSCAR:
```
Tb4PrDy10
1.0
-4.901 4.901 5.395
4.901 -4.901 5.395
4.901 4.901 -5.395
Tb Pr Dy
4 1 10
direct
0.054 0.288 0.342
0.288 0.946 0.234
0.712 0.054 0.766
0.946 0.712 0.658
0.500 0.500 0.000
0.111 0.452 0.902
0.208 0.111 0.658
0.250 0.750 0.500
0.450 0.792 0.902
0.452 0.550 0.342
0.548 0.450 0.658
0.550 0.208 0.098
0.750 0.250 0.500
0.792 0.889 0.342
0.889 0.548 0.098
```

E   -62.28 eV per formula unit
Formation energy from the elements   0.47 eV per atom
Space group   No. 87
M_tot   0.000 μB per cell
Fermi-level density of states   27.207 states/eV per cell



Compound: Fe5Ag3H12
Source: Alexandria via LeMat-Bulk
Functional: PBE
Structure: relaxed

Geometry as POSCAR:
```
Fe5Ag3H12
1.0
-5.426 5.426 5.426
5.426 -5.426 5.426
5.426 5.426 -5.426
Fe Ag H
20 12 48
direct
0.000 0.000 0.000
0.000 0.000 0.500
0.000 0.500 0.000
0.000 0.500 0.500
0.125 0.750 0.875
0.125 0.875 0.250
0.250 0.125 0.875
0.250 0.625 0.375
0.375 0.250 0.625
0.375 0.625 0.750
0.500 0.000 0.000
0.500 0.000 0.500
0.500 0.500 0.000
0.500 0.500 0.500
0.625 0.375 0.250
0.625 0.750 0.375
0.750 0.375 0.625
0.750 0.875 0.125
0.875 0.125 0.750
0.875 0.250 0.125
0.125 0.250 0.375
0.125 0.375 0.750
0.250 0.375 0.125
0.250 0.875 0.625
0.375 0.125 0.250
0.375 0.750 0.125
0.625 0.250 0.875
0.625 0.875 0.750
0.750 0.125 0.375
0.750 0.625 0.875
0.875 0.625 0.250
0.875 0.750 0.625
0.025 0.190 0.115
0.025 0.335 0.910
0.075 0.690 0.665
0.075 0.885 0.410
0.090 0.615 0.425
0.090 0.975 0.665
0.115 0.025 0.190
0.115 0.590 0.925
0.165 0.190 0.575
0.165 0.475 0.590
0.190 0.115 0.025
0.190 0.575 0.165
0.310 0.335 0.925
0.310 0.475 0.385
0.335 0.910 0.025
0.335 0.925 0.310
0.385 0.310 0.475
0.385 0.575 0.910
0.410 0.075 0.885
0.410 0.835 0.525
0.425 0.090 0.615
0.425 0.835 0.810
0.475 0.385 0.310
0.475 0.590 0.165
0.525 0.410 0.835
0.525 0.615 0.690
0.575 0.165 0.190
0.575 0.910 0.385
0.590 0.165 0.475
0.590 0.925 0.115
0.615 0.425 0.090
0.615 0.690 0.525
0.665 0.075 0.690
0.665 0.090 0.975
0.690 0.525 0.615
0.690 0.665 0.075
0.810 0.425 0.835
0.810 0.885 0.975
0.835 0.525 0.410
0.835 0.810 0.425
0.885 0.410 0.075
0.885 0.975 0.810
0.910 0.025 0.335
0.910 0.385 0.575
0.925 0.115 0.590
0.925 0.310 0.335
0.975 0.665 0.090
0.975 0.810 0.885
```

E   -85.10 eV per formula unit
Space group   No. 230
M_tot   43.764 μB per cell
Fermi-level density of states   39.611 states/eV per cell



Compound: La2Y2Pd15
Source: Alexandria via LeMat-Bulk
Functional: PBE
Structure: relaxed

Geometry as POSCAR:
```
La2Y2Pd15
1.0
4.643 2.681 4.746
-4.643 2.681 4.746
0.000 -5.361 4.746
La Y Pd
2 2 15
direct
0.140 0.140 0.140
0.860 0.860 0.860
0.392 0.392 0.392
0.608 0.608 0.608
0.000 0.500 0.500
0.150 0.150 0.658
0.150 0.658 0.150
0.195 0.500 0.805
0.195 0.805 0.500
0.342 0.850 0.850
0.500 0.000 0.500
0.500 0.195 0.805
0.500 0.500 0.000
0.500 0.805 0.195
0.658 0.150 0.150
0.805 0.195 0.500
0.805 0.500 0.195
0.850 0.342 0.850
0.850 0.850 0.342
```

E   -111.99 eV per formula unit
Formation energy from the elements   -0.60 eV per atom
Space group   No. 166
M_tot   0.000 μB per cell
Fermi-level density of states   14.630 states/eV per cell



Compound: V6Fe5Ni
Source: Alexandria via LeMat-Bulk
Functional: PBE
Structure: relaxed

Geometry as POSCAR:
```
V6Fe5Ni
1.0
6.451 -2.888 0.000
6.451 2.888 0.000
-1.270 0.000 3.875
V Fe Ni
6 5 1
direct
0.080 0.583 0.331
0.246 0.754 0.000
0.417 0.920 0.669
0.583 0.080 0.331
0.754 0.246 0.000
0.920 0.417 0.669
0.000 0.000 0.500
0.167 0.167 0.167
0.338 0.338 0.837
0.662 0.662 0.163
0.833 0.833 0.833
0.500 0.500 0.500
```

E   -103.94 eV per formula unit
Formation energy from the elements   -0.09 eV per atom
Space group   No. 12
M_tot   2.931 μB per cell
Fermi-level density of states   15.636 states/eV per cell



> Which of these has the highest M_tot?

Fe5Ag3H12



> What is the formula in the first record?

Ca2BeBr



> Look up the E of the third one.

-62.28 eV per formula unit



What did the sixth record say?
Compound: V6Fe5Ni
Source: Alexandria via LeMat-Bulk
Functional: PBE
Structure: relaxed

Geometry as POSCAR:
```
V6Fe5Ni
1.0
6.451 -2.888 0.000
6.451 2.888 0.000
-1.270 0.000 3.875
V Fe Ni
6 5 1
direct
0.080 0.583 0.331
0.246 0.754 0.000
0.417 0.920 0.669
0.583 0.080 0.331
0.754 0.246 0.000
0.920 0.417 0.669
0.000 0.000 0.500
0.167 0.167 0.167
0.338 0.338 0.837
0.662 0.662 0.163
0.833 0.833 0.833
0.500 0.500 0.500
```

E   -103.94 eV per formula unit
Formation energy from the elements   -0.09 eV per atom
Space group   No. 12
M_tot   2.931 μB per cell
Fermi-level density of states   15.636 states/eV per cell